# 1
Below is a relaxed Mn2SnAs crystal, with properties calculated at the PBE-GGA level.

Formation energy from the elements: 34.13 kJ per mole of atoms
Raw total energy: -6.3942 eV per atom
SG: Fm-3m
DOS at the Fermi energy: 3.74 states/eV/f.u.

a = 4.339 Å, b = 4.339 Å, c = 4.339 Å
α = 60.00°, β = 60.00°, γ = 60.00°
Fractional positions:
Mn (0.250, 0.250, 0.250)
Mn (0.750, 0.750, 0.750)
Sn (0.000, 0.000, 0.000)
As (0.500, 0.500, 0.500)

=====

# 2
Below is a relaxed La5AsP4 crystal, with properties calculated at the PBE-GGA level.

Formation energy from the elements: -151.83 kJ per mole of atoms
Raw total energy: -6.6663 eV per atom
SG: Immm
DOS at the Fermi energy: 1.35 states/eV/f.u.

a = 11.371 Å, b = 11.371 Å, c = 11.371 Å
α = 158.20°, β = 149.00°, γ = 38.22°
Fractional positions:
La (0.000, 0.000, 0.000)
La (0.200, 0.200, 0.000)
La (0.397, 0.397, 0.000)
La (0.603, 0.603, 0.000)
La (0.800, 0.800, 0.000)
As (0.500, 0.000, 0.500)
P (0.100, 0.600, 0.500)
P (0.299, 0.799, 0.500)
P (0.701, 0.201, 0.500)
P (0.900, 0.400, 0.500)

=====

# 3
Below is a relaxed Sm3InRh crystal, with properties calculated at the PBE-GGA level.

Formation energy from the elements: -47.70 kJ per mole of atoms
Raw total energy: -5.3439 eV per atom
SG: P2_1/m
DOS at the Fermi energy: 4.58 states/eV/f.u.

a = 7.262 Å, b = 4.932 Å, c = 8.430 Å
α = 90.00°, β = 111.93°, γ = 90.00°
Fractional positions:
Sm (0.058, 0.250, 0.259)
Sm (0.302, 0.250, 0.939)
Sm (0.347, 0.750, 0.597)
Sm (0.653, 0.250, 0.403)
Sm (0.698, 0.750, 0.061)
Sm (0.942, 0.750, 0.741)
In (0.311, 0.750, 0.189)
In (0.689, 0.250, 0.811)
Rh (0.084, 0.250, 0.603)
Rh (0.916, 0.750, 0.397)

=====

# 4
Below is a relaxed BaZr2In crystal, with properties calculated at the PBE-GGA level.

Formation energy from the elements: 32.01 kJ per mole of atoms
Raw total energy: -5.1076 eV per atom
SG: Pmmm
DOS at the Fermi energy: 5.97 states/eV/f.u.

a = 3.398 Å, b = 5.509 Å, c = 5.827 Å
α = 90.00°, β = 90.00°, γ = 90.00°
Fractional positions:
Ba (0.000, 0.000, 0.000)
Zr (0.000, 0.500, 0.500)
Zr (0.500, 0.500, 0.000)
In (0.500, 0.000, 0.500)

=====

# 5
Below is a relaxed FeMoAs2 crystal, with properties calculated at the PBE-GGA level.

Formation energy from the elements: 7.66 kJ per mole of atoms
Raw total energy: -7.0688 eV per atom
SG: Fm-3m
DOS at the Fermi energy: 2.67 states/eV/f.u.

a = 4.302 Å, b = 4.302 Å, c = 4.302 Å
α = 60.00°, β = 60.00°, γ = 60.00°
Fractional positions:
Fe (0.000, 0.000, 0.000)
Mo (0.500, 0.500, 0.500)
As (0.250, 0.250, 0.250)
As (0.750, 0.750, 0.750)